# 1
# Li5TlHg

A geometry-optimized Li5TlHg structure (PBE, Alexandria via LeMat-Bulk).

```
Li5TlHg
1.0
6.377 -3.915 0.000
6.377 3.915 0.000
-0.839 0.000 5.311
Li Tl Hg
10 2 2
Direct
0.095 0.285 0.006
0.125 0.875 0.750
0.285 0.095 0.506
0.343 0.438 0.835
0.438 0.343 0.335
0.562 0.657 0.665
0.657 0.562 0.165
0.715 0.905 0.494
0.875 0.125 0.250
0.905 0.715 0.994
0.243 0.757 0.250
0.757 0.243 0.750
0.000 0.500 0.500
0.500 0.000 0.000
```

Results
theoretical density	5.506	g/cm3
DOS at the Fermi energy	5.51	states/eV/cell
formation enthalpy at 0 K	-1.49	eV per formula unit
space group	C2/c (15)
energy above the most stable polymorph in this dataset	0.000	eV per atom

=====

# 2
# Li2PmCd6

A geometry-optimized Li2PmCd6 structure (PBE, Alexandria via LeMat-Bulk).

```
Li2PmCd6
1.0
8.730 0.000 0.000
-4.365 7.561 0.000
0.000 0.000 3.140
Li Pm Cd
2 1 6
Direct
0.333 0.667 0.000
0.667 0.333 0.000
0.000 0.000 0.000
0.000 0.339 0.500
0.000 0.661 0.500
0.339 0.000 0.500
0.339 0.339 0.500
0.661 0.000 0.500
0.661 0.661 0.500
```

Results
theoretical density	6.677	g/cm3
DOS at the Fermi energy	4.01	states/eV/cell
formation enthalpy at 0 K	-1.82	eV per formula unit
space group	P6/mmm (191)
energy above the most stable polymorph in this dataset	0.000	eV per atom

=====

# 3
# VIr3

A geometry-optimized VIr3 structure (PBE, Alexandria via LeMat-Bulk).

```
VIr3
1.0
5.466 0.000 0.000
-2.733 4.734 0.000
0.000 0.000 4.359
V Ir
2 6
Direct
0.333 0.667 0.250
0.667 0.333 0.750
0.168 0.335 0.750
0.168 0.832 0.750
0.335 0.168 0.250
0.665 0.832 0.750
0.832 0.168 0.250
0.832 0.665 0.250
```

Results
theoretical density	18.481	g/cm3
DOS at the Fermi energy	5.08	states/eV/cell
formation enthalpy at 0 K	-1.99	eV per formula unit
space group	P6_3/mmc (194)